No. 1
Density functional theory data (PBE-GGA) for a relaxed Ce2Ge3Pd5 crystal.

Lattice parameters (Å, degrees): 4.1460 4.1460 11.3556 90.00 90.00 90.00
Last column: nearest neighbours and their distance in Å.
Fractional positions:
Ce 0.0000 0.5000 0.2246  8 Pd 3.04-3.29, 4 Ge 3.33
Ce 0.5000 0.0000 0.7754  8 Pd 3.04-3.29, 4 Ge 3.33
Ge 0.0000 0.5000 0.6357  3 Pd 2.39-2.58, 2 Ge 2.58
Ge 0.5000 0.0000 0.3643  3 Pd 2.39-2.58, 2 Ge 2.58
Ge 0.5000 0.5000 0.5000  4 Ge 2.58
Pd 0.0000 0.0000 0.0000  8 Pd 2.71-2.93
Pd 0.0000 0.0000 0.5000  4 Ge 2.58
Pd 0.0000 0.5000 0.8463  1 Ge 2.39
Pd 0.5000 0.0000 0.1537  1 Ge 2.39
Pd 0.5000 0.5000 0.0000  8 Pd 2.71-2.93

Summary:
- DOS at the Fermi energy: 1.34 states/eV/atom
- Final energy: -5.746 eV/atom
- Energy relative to the lowest polymorph listed for this composition: 0.161 eV/atom
- Energy of formation: -0.58 eV per atom

=====

No. 2
Density functional theory data (PBE-GGA) for a relaxed CeGe3Pd5 crystal.

Lattice parameters (Å, degrees): 6.8551 6.8551 12.8488 90.00 90.00 146.84
Last column: nearest neighbours and their distance in Å.
Fractional positions:
Ce 0.1391 0.8609 0.7500  7 Ge 3.30-3.67, 8 Pd 3.45-3.67
Ce 0.8609 0.1391 0.2500  7 Ge 3.30-3.67, 8 Pd 3.45-3.67
Ge 0.1244 0.8756 0.2500  6 Pd 2.51-2.56
Ge 0.3819 0.6181 0.0447  5 Pd 2.40-2.60
Ge 0.3819 0.6181 0.4553  5 Pd 2.40-2.60
Ge 0.6181 0.3819 0.5447  5 Pd 2.40-2.60
Ge 0.6181 0.3819 0.9553  5 Pd 2.40-2.60
Ge 0.8756 0.1244 0.7500  6 Pd 2.51-2.56
Pd 0.0000 0.0000 0.0000  4 Ge 2.56, 6 Pd 2.79-2.80
Pd 0.0000 0.0000 0.5000  4 Ge 2.56, 6 Pd 2.79-2.80
Pd 0.2014 0.7986 0.0711  2 Ge 2.40-2.51
Pd 0.2014 0.7986 0.4289  2 Ge 2.40-2.51
Pd 0.4487 0.5513 0.6455  4 Ge 2.56-2.60, 3 Pd 2.69-2.79
Pd 0.4487 0.5513 0.8545  4 Ge 2.56-2.60, 3 Pd 2.69-2.79
Pd 0.5513 0.4487 0.1455  4 Ge 2.56-2.60, 3 Pd 2.69-2.79
Pd 0.5513 0.4487 0.3545  4 Ge 2.56-2.60, 3 Pd 2.69-2.79
Pd 0.7986 0.2014 0.5711  2 Ge 2.40-2.51
Pd 0.7986 0.2014 0.9289  2 Ge 2.40-2.51

Summary:
- DOS at the Fermi energy: 1.15 states/eV/atom
- Final energy: -5.679 eV/atom
- Energy relative to the lowest polymorph listed for this composition: 0.093 eV/atom
- Energy of formation: -0.60 eV per atom

=====

No. 3
Density functional theory data (PBE-GGA) for a relaxed CeGePd crystal.

Lattice parameters (Å, degrees): 5.1444 5.1444 5.1444 135.35 135.35 64.99
Last column: nearest neighbours and their distance in Å.
Fractional positions:
Ce 0.0000 0.0000 0.0000  5 Ge 2.92-3.11, 5 Pd 3.03-3.09
Ge 0.3366 0.3366 0.0000  1 Pd 2.66, 1 Ce 2.92
Pd 0.6435 0.6435 0.0000  1 Ge 2.66

Summary:
- DOS at the Fermi energy: 1.67 states/eV/atom
- Final energy: -5.711 eV/atom
- Energy of formation: -0.46 eV per atom